# GGA-PBE HfZrRu4, relaxed
# SG ... F-43m
# Total DFT energy (no corrections) ... -57.7 eV/cell
data_HfZrRu4
_cell_length_a 5.202
_cell_length_b 5.202
_cell_length_c 5.202
_cell_angle_alpha 60.00
_cell_angle_beta 60.00
_cell_angle_gamma 60.00
_space_group_name_H-M_alt 'P 1'
_space_group_IT_number 1
_space_group_name_Hall 'P 1'
loop_
_atom_site_label
_atom_site_type_symbol
_atom_site_fract_x
_atom_site_fract_y
_atom_site_fract_z
Zr1 Zr 0.250 0.250 0.250
Ru1 Ru 0.625 0.625 0.625
Ru2 Ru 0.125 0.625 0.625
Ru3 Ru 0.625 0.125 0.625
Ru4 Ru 0.625 0.625 0.125
Hf1 Hf 0.000 0.000 0.000

---

# GGA-PBE HfZr2Ru, relaxed
# SG ... Pnma
# Energy relative to the lowest polymorph listed for this composition ... 31 meV/atom
data_HfZr2Ru
_cell_length_a 5.768
_cell_length_b 6.223
_cell_length_c 9.307
_cell_angle_alpha 90.00
_cell_angle_beta 90.00
_cell_angle_gamma 90.00
_space_group_name_H-M_alt 'P 1'
_space_group_IT_number 1
_space_group_name_Hall 'P 1'
loop_
_atom_site_label
_atom_site_type_symbol
_atom_site_fract_x
_atom_site_fract_y
_atom_site_fract_z
Zr1 Zr 0.132 0.708 0.448
Ru1 Ru 0.109 0.391 0.250
Hf1 Hf 0.173 0.962 0.750
Hf2 Hf 0.673 0.538 0.250
Ru2 Ru 0.391 0.891 0.250
Hf3 Hf 0.327 0.462 0.750
Zr2 Zr 0.132 0.708 0.052
Ru3 Ru 0.609 0.109 0.750
Zr3 Zr 0.368 0.208 0.448
Zr4 Zr 0.868 0.292 0.948
Zr5 Zr 0.868 0.292 0.552
Zr6 Zr 0.368 0.208 0.052
Ru4 Ru 0.891 0.609 0.750
Zr7 Zr 0.632 0.792 0.948
Zr8 Zr 0.632 0.792 0.552
Hf4 Hf 0.827 0.038 0.250

---

# GGA-PBE Hf3ZrRu, relaxed
# SG ... Pm-3m
# Energy relative to the lowest polymorph listed for this composition ... 1260 meV/atom
data_Hf3ZrRu
_cell_length_a 4.955
_cell_length_b 4.955
_cell_length_c 4.955
_cell_angle_alpha 90.00
_cell_angle_beta 90.00
_cell_angle_gamma 90.00
_space_group_name_H-M_alt 'P 1'
_space_group_IT_number 1
_space_group_name_Hall 'P 1'
loop_
_atom_site_label
_atom_site_type_symbol
_atom_site_fract_x
_atom_site_fract_y
_atom_site_fract_z
Hf1 Hf 0.000 0.500 0.000
Hf2 Hf 0.500 0.000 0.000
Hf3 Hf 0.000 0.000 0.500
Ru1 Ru 0.500 0.500 0.500
Zr1 Zr 0.000 0.000 0.000